# 1
A crystal of HfAlCo relaxed with PBEsol, computed with meta-GGA SCAN.

a b c (Å): 5.027 5.027 7.985
angles (deg): 90.00 90.00 119.10
Atoms (fractional coordinates):
Co 0.832 0.168 0.500
Al 0.007 0.993 0.736
Al 0.655 0.834 0.000
Hf 0.666 0.334 0.213
Co 0.345 0.171 0.500
Hf 0.330 0.670 0.675
Co 0.168 0.832 0.000
Hf 0.330 0.670 0.325
Co 0.829 0.655 0.500
Al 0.166 0.345 0.000
Al 0.007 0.993 0.264
Hf 0.666 0.334 0.787

Properties
- uncorrected energy (eV/cell) = -356.44
- volume (Å³/f.u.) = 44.1
- formation enthalpy at 0 K (meV/atom) = -460
- symmetry = Amm2, No. 38

---

# 2
A crystal of HfAlCo2Tc relaxed with PBEsol, computed with meta-GGA SCAN.

a b c (Å): 4.122 4.122 4.442
angles (deg): 90.00 90.00 90.00
Atoms (fractional coordinates):
Al 0.000 0.000 0.000
Tc 0.000 0.000 0.500
Hf 0.500 0.500 0.500
Co 0.500 0.000 0.000
Co 0.000 0.500 0.000

Properties
- uncorrected energy (eV/cell) = -137.58
- volume (Å³/f.u.) = 75.5
- formation enthalpy at 0 K (meV/atom) = 503
- symmetry = P4/mmm, No. 123